VASP calculation (GGA-PBE) on an optimized crystal structure of Tm3NbPt12.

Computed properties:
**Space group**: P4/mmm (123)
**Energy relative to the elements**: -996 meV/atom
**Energy**: -6.99 eV per atom

The structure in extended XYZ format:
```
16
Lattice="4.0645 0.0000 0.0000 0.0000 4.0645 0.0000 0.0000 0.0000 16.3105" Properties=species:S:1:pos:R:3 pbc="T T T"
Tm 0.0000 0.0000 4.0794
Tm 0.0000 0.0000 8.1553
Tm 0.0000 0.0000 12.2311
Nb 0.0000 0.0000 0.0000
Pt 2.0323 2.0323 0.0000
Pt 2.0323 2.0323 3.9993
Pt 2.0323 2.0323 8.1553
Pt 2.0323 2.0323 12.3112
Pt 2.0323 0.0000 1.9134
Pt 2.0323 0.0000 6.0934
Pt 2.0323 0.0000 10.2171
Pt 2.0323 0.0000 14.3971
Pt 0.0000 2.0323 1.9134
Pt 0.0000 2.0323 6.0934
Pt 0.0000 2.0323 10.2171
Pt 0.0000 2.0323 14.3971
```

---

VASP calculation (GGA-PBE) on an optimized crystal structure of TmNb2Pt9.

Computed properties:
**Space group**: P4/mmm (123)
**Energy relative to the elements**: -760 meV/atom
**Energy**: -7.34 eV per atom

The structure in extended XYZ format:
```
12
Lattice="-3.6372 -1.5327 0.7955 -0.7760 -0.2063 -3.9455 4.6544 -11.2160 -0.3290" Properties=species:S:1:pos:R:3 pbc="T T T"
Tm 0.0000 0.0000 0.0000
Nb 1.5460 -3.7254 -0.1093
Nb 3.1085 -7.4906 -0.2197
Pt -2.2066 -0.8695 -1.5750
Pt -0.6324 -4.6629 -1.6862
Pt 0.8737 -8.2922 -1.7927
Pt -0.9998 -2.7394 0.3399
Pt 0.5086 -6.3744 0.2333
Pt 2.0170 -10.0093 0.1267
Pt 0.4308 -2.0762 -2.0306
Pt 1.9392 -5.7112 -2.1372
Pt 3.4476 -9.3461 -2.2438
```

---

VASP calculation (GGA-PBE) on an optimized crystal structure of UNb2Pt.

Computed properties:
**Space group**: P4/mmm (123)
**Energy relative to the elements**: -154 meV/atom
**Relative energy among the computed polymorphs**: 0.000 eV/atom
**Energy**: -9.52 eV per atom

The structure in extended XYZ format:
```
4
Lattice="-2.0960 -1.6195 -1.8246 -1.3706 -2.5189 3.8103 -3.3474 3.2606 0.9514" Properties=species:S:1:pos:R:3 pbc="T T T"
Nb -1.6737 1.6303 0.4757
Nb -0.6853 -1.2594 1.9051
U -3.4070 -0.4389 1.4686
Pt -1.0480 -0.8097 -0.9123
```

---

VASP calculation (GGA-PBE) on an optimized crystal structure of UNb2Pt.

Computed properties:
**Space group**: P4/mmm (123)
**Energy relative to the elements**: -68 meV/atom
**Relative energy among the computed polymorphs**: 0.086 eV/atom
**Energy**: -9.43 eV per atom

The structure in extended XYZ format:
```
4
Lattice="-3.2083 -0.2448 -1.1903 1.2092 -0.9771 -3.0583 -0.2197 -5.9670 1.8196" Properties=species:S:1:pos:R:3 pbc="T T T"
Nb -0.1657 -4.4989 1.3719
Nb -0.0541 -1.4681 0.4477
U -0.9996 -0.6110 -2.1243
Pt -1.1094 -3.5945 -1.2145
```

---

Density of states at the Fermi level (states/eV/cell)
9.366; 7.088; 7.643; 5.936